Here is an optimized crystal structure of Pr2As2IrOsO2 from OQMD. Energies are from GGA-PBE.

## Properties
Calculated volume: 142.2 Å³/f.u.
E_tot: -62.71 eV per cell
Symmetry: P-4m2 (115)

Cell: 4.129 4.129 8.343 Å, 90.00 90.00 90.00°
Element x y z (fractional)
Pr 0.000 0.500 0.140
Pr 0.500 0.000 0.860
As 0.000 0.500 0.661
As 0.500 0.000 0.339
Ir 0.000 0.000 0.500
Os 0.500 0.500 0.500
O 0.000 0.000 0.000
O 0.500 0.500 0.000